[1]
Computed, not measured: a geometry-optimized ScCd2Cl structure at the PBE-GGA level of DFT.

a b c (Å): 8.5870 8.5870 5.4638
angles (deg): 90.00 90.00 90.00
With the nearest neighbours (Å) after each atom.
Fractional positions:
Sc: 0.0000 0.0000 0.0000  2 Cl 2.73, 4 Cd 3.04
Sc: 0.0000 0.5000 0.2500  2 Cl 2.73, 4 Cd 3.04
Sc: 0.5000 0.0000 0.7500  2 Cl 2.73, 4 Cd 3.04
Sc: 0.5000 0.5000 0.5000  2 Cl 2.73, 4 Cd 3.04
Cd: 0.2374 0.2500 0.1250  2 Cd 2.74, 2 Sc 3.04
Cd: 0.2500 0.7374 0.3750  2 Cd 2.74, 2 Sc 3.04
Cd: 0.2500 0.7626 0.8750  2 Cd 2.74, 2 Sc 3.04
Cd: 0.2626 0.2500 0.6250  2 Cd 2.74, 2 Sc 3.04
Cd: 0.7374 0.7500 0.6250  2 Cd 2.74, 2 Sc 3.04
Cd: 0.7500 0.2374 0.8750  2 Cd 2.74, 2 Sc 3.04
Cd: 0.7500 0.2626 0.3750  2 Cd 2.74, 2 Sc 3.04
Cd: 0.7626 0.7500 0.1250  2 Cd 2.74, 2 Sc 3.04
Cl: 0.0000 0.0000 0.5000  2 Sc 2.73
Cl: 0.0000 0.5000 0.7500  2 Sc 2.73
Cl: 0.5000 0.0000 0.2500  2 Sc 2.73
Cl: 0.5000 0.5000 0.0000  2 Sc 2.73

Results
Space-group type   I-42d, No. 122
DOS at the Fermi energy   15.055 states/eV/cell
Polymorph energy (0 for the lowest one)   315 meV/atom

---

[2]
Computed, not measured: a geometry-optimized Pr4Nd15Y structure at the PBE-GGA level of DFT.

a b c (Å): 5.2177 5.2177 26.0176
angles (deg): 90.00 90.00 90.00
With the nearest neighbours (Å) after each atom.
Fractional positions:
Pr: 0.0000 0.0000 0.1003  12 Nd 3.69
Pr: 0.0000 0.0000 0.3010  12 Nd 3.69
Pr: 0.0000 0.0000 0.6990  12 Nd 3.69
Pr: 0.0000 0.0000 0.8997  12 Nd 3.69
Nd: 0.0000 0.5000 0.0000  8 Nd 3.69, 4 Pr 3.69
Nd: 0.0000 0.5000 0.2006  4 Pr 3.69, 8 Nd 3.69-3.70
Nd: 0.0000 0.5000 0.4013  8 Nd 3.66-3.69, 2 Y 3.66, 2 Pr 3.69
Nd: 0.0000 0.5000 0.5987  8 Nd 3.66-3.69, 2 Y 3.66, 2 Pr 3.69
Nd: 0.0000 0.5000 0.7994  4 Pr 3.69, 8 Nd 3.69-3.70
Nd: 0.5000 0.0000 0.0000  8 Nd 3.69, 4 Pr 3.69
Nd: 0.5000 0.0000 0.2006  4 Pr 3.69, 8 Nd 3.69-3.70
Nd: 0.5000 0.0000 0.4013  8 Nd 3.66-3.69, 2 Y 3.66, 2 Pr 3.69
Nd: 0.5000 0.0000 0.5987  8 Nd 3.66-3.69, 2 Y 3.66, 2 Pr 3.69
Nd: 0.5000 0.0000 0.7994  4 Pr 3.69, 8 Nd 3.69-3.70
Nd: 0.5000 0.5000 0.1002  8 Nd 3.69, 4 Pr 3.69
Nd: 0.5000 0.5000 0.3012  8 Nd 3.69-3.70, 4 Pr 3.69
Nd: 0.5000 0.5000 0.5000  8 Nd 3.66, 4 Y 3.69
Nd: 0.5000 0.5000 0.6988  8 Nd 3.69-3.70, 4 Pr 3.69
Nd: 0.5000 0.5000 0.8998  8 Nd 3.69, 4 Pr 3.69
Y: 0.0000 0.0000 0.5000  12 Nd 3.66-3.69

Results
Space-group type   P4/mmm, No. 123
DFT formation energy   0.26 eV per formula unit
DOS at the Fermi energy   29.766 states/eV/cell